AgRuPt | PBEsol | optimized geometry

Unit cell a=5.958 b=5.958 c=5.958 alpha=90.00 beta=90.00 gamma=90.00
Space group F-43m (No. 216)
Asymmetric unit:
Ag 0.000 0.000 0.000 (multiplicity 4)
Ru 0.250 0.250 0.250 (multiplicity 4)
Pt 0.250 0.250 0.750 (multiplicity 4)

Output
For the total energy, the calculation gives -67.63 eV/cell. As for the mass density: 12.7 Mg/m³. The value obtained for the energy of formation is 1.180 eV per atom.